Entry A
# AcEu2Tm PBE relaxed
# * V: 38.93 A^3/atom
# * density of states at the Fermi level: 5.20 states/eV per cell
data_AcEu2Tm
_cell_length_a 3.801
_cell_length_b 3.801
_cell_length_c 12.638
_cell_angle_alpha 81.35
_cell_angle_beta 81.35
_cell_angle_gamma 60.00
_space_group_name_H-M_alt 'P 1'
_space_group_IT_number 1
_space_group_name_Hall 'P 1'
loop_
_atom_site_label
_atom_site_fract_x
_atom_site_fract_y
_atom_site_fract_z
Eu1 0.746 0.746 0.763
Eu2 0.254 0.254 0.237
Ac1 0.500 0.500 0.500
Tm1 0.000 0.000 0.000

---

Entry B
# AcEu2Tm PBE relaxed
# * V: 38.79 A^3/atom
# * density of states at the Fermi level: 5.66 states/eV per cell
data_AcEu2Tm
_cell_length_a 5.492
_cell_length_b 5.315
_cell_length_c 5.315
_cell_angle_alpha 90.00
_cell_angle_beta 90.00
_cell_angle_gamma 90.00
_space_group_name_H-M_alt 'P 1'
_space_group_IT_number 1
_space_group_name_Hall 'P 1'
loop_
_atom_site_label
_atom_site_fract_x
_atom_site_fract_y
_atom_site_fract_z
Eu1 0.000 0.500 0.000
Ac1 0.500 0.000 0.000
Eu2 0.000 0.000 0.500
Tm1 0.500 0.500 0.500

---

Energies relative to the most stable structure, in meV per atom: entry A 0; entry B 15.

---

Entry A
# AcEuZn PBE relaxed
# * V: 33.64 A^3/atom
# * density of states at the Fermi level: 6.27 states/eV per cell
data_AcEuZn
_cell_length_a 3.890
_cell_length_b 3.890
_cell_length_c 7.214
_cell_angle_alpha 105.64
_cell_angle_beta 105.64
_cell_angle_gamma 90.00
_space_group_name_H-M_alt 'P 1'
_space_group_IT_number 1
_space_group_name_Hall 'P 1'
loop_
_atom_site_label
_atom_site_fract_x
_atom_site_fract_y
_atom_site_fract_z
Eu1 0.032 0.032 0.063
Ac1 0.306 0.306 0.611
Zn1 0.663 0.663 0.326

---

Entry B
# AcEuZn PBE relaxed
# * V: 33.22 A^3/atom
# * density of states at the Fermi level: 3.48 states/eV per cell
data_AcEuZn
_cell_length_a 4.073
_cell_length_b 5.315
_cell_length_c 5.315
_cell_angle_alpha 120.00
_cell_angle_beta 90.00
_cell_angle_gamma 90.00
_space_group_name_H-M_alt 'P 1'
_space_group_IT_number 1
_space_group_name_Hall 'P 1'
loop_
_atom_site_label
_atom_site_fract_x
_atom_site_fract_y
_atom_site_fract_z
Eu1 0.555 0.667 0.333
Zn1 0.417 0.333 0.667
Ac1 0.028 0.000 0.000

---

Entry C
# AcEuZn PBE relaxed
# * V: 36.59 A^3/atom
# * density of states at the Fermi level: 3.81 states/eV per cell
data_AcEuZn
_cell_length_a 5.375
_cell_length_b 5.375
_cell_length_c 5.375
_cell_angle_alpha 60.00
_cell_angle_beta 60.00
_cell_angle_gamma 60.00
_space_group_name_H-M_alt 'P 1'
_space_group_IT_number 1
_space_group_name_Hall 'P 1'
loop_
_atom_site_label
_atom_site_fract_x
_atom_site_fract_y
_atom_site_fract_z
Ac1 0.500 0.500 0.500
Eu1 0.000 0.000 0.000
Zn1 0.250 0.250 0.250

---

Energies relative to the most stable structure, in meV per atom: entry A 0; entry B 164; entry C 176.

---

Entry A
# Ac2GaF PBE relaxed
# * V: 28.36 A^3/atom
# * density of states at the Fermi level: 2.74 states/eV per cell
data_Ac2GaF
_cell_length_a 4.167
_cell_length_b 4.167
_cell_length_c 7.919
_cell_angle_alpha 74.75
_cell_angle_beta 74.75
_cell_angle_gamma 60.00
_space_group_name_H-M_alt 'P 1'
_space_group_IT_number 1
_space_group_name_Hall 'P 1'
loop_
_atom_site_label
_atom_site_fract_x
_atom_site_fract_y
_atom_site_fract_z
F1 0.000 0.000 0.000
Ac1 0.262 0.262 0.215
Ac2 0.738 0.738 0.785
Ga1 0.500 0.500 0.500

---

Entry B
# Ac2GaF PBE relaxed
# * V: 26.33 A^3/atom
# * density of states at the Fermi level: 2.31 states/eV per cell
data_Ac2GaF
_cell_length_a 3.649
_cell_length_b 3.649
_cell_length_c 7.910
_cell_angle_alpha 90.00
_cell_angle_beta 90.00
_cell_angle_gamma 90.00
_space_group_name_H-M_alt 'P 1'
_space_group_IT_number 1
_space_group_name_Hall 'P 1'
loop_
_atom_site_label
_atom_site_fract_x
_atom_site_fract_y
_atom_site_fract_z
Ac1 0.000 0.000 0.754
Ga1 0.500 0.500 0.500
F1 0.500 0.500 0.000
Ac2 0.000 0.000 0.246

---

Energies relative to the most stable structure, in meV per atom: entry A 0; entry B 159.

---

Entry A
# AcGa2F8 PBE relaxed
# * V: 16.05 A^3/atom
# * density of states at the Fermi level: 2.00 states/eV per cell
data_AcGa2F8
_cell_length_a 4.058
_cell_length_b 7.087
_cell_length_c 7.088
_cell_angle_alpha 120.01
_cell_angle_beta 90.01
_cell_angle_gamma 90.01
_space_group_name_H-M_alt 'P 1'
_space_group_IT_number 1
_space_group_name_Hall 'P 1'
loop_
_atom_site_label
_atom_site_fract_x
_atom_site_fract_y
_atom_site_fract_z
Ac1 0.000 0.000 0.000
Ga1 0.718 0.667 0.333
F1 0.721 0.353 0.177
F2 0.279 0.177 0.824
F3 0.721 0.823 0.176
F4 0.279 0.176 0.353
Ga2 0.282 0.333 0.667
F5 0.279 0.647 0.823
F6 0.721 0.824 0.647
F7 0.778 0.333 0.667
F8 0.222 0.667 0.333

---

Entry B
# AcGa2F8 PBE relaxed
# * V: 15.73 A^3/atom
# * density of states at the Fermi level: 2.45 states/eV per cell
data_AcGa2F8
_cell_length_a 5.260
_cell_length_b 6.803
_cell_length_c 6.803
_cell_angle_alpha 46.22
_cell_angle_beta 80.58
_cell_angle_gamma 80.58
_space_group_name_H-M_alt 'P 1'
_space_group_IT_number 1
_space_group_name_Hall 'P 1'
loop_
_atom_site_label
_atom_site_fract_x
_atom_site_fract_y
_atom_site_fract_z
F1 0.214 0.408 0.408
F2 0.291 0.342 0.858
F3 0.786 0.592 0.592
F4 0.709 0.658 0.142
F5 0.268 0.813 0.813
Ac1 0.000 0.000 0.000
F6 0.732 0.187 0.187
Ga1 0.444 0.666 0.666
Ga2 0.556 0.334 0.334
F7 0.709 0.142 0.658
F8 0.291 0.858 0.342

---

Energies relative to the most stable structure, in meV per atom: entry A 14; entry B 0.

---

Entry A
# Ac3Ge2F PBE relaxed
# * V: 30.39 A^3/atom
# * density of states at the Fermi level: 4.27 states/eV per cell
data_Ac3Ge2F
_cell_length_a 4.540
_cell_length_b 8.995
_cell_length_c 17.856
_cell_angle_alpha 90.00
_cell_angle_beta 90.00
_cell_angle_gamma 90.00
_space_group_name_H-M_alt 'P 1'
_space_group_IT_number 1
_space_group_name_Hall 'P 1'
loop_
_atom_site_label
_atom_site_fract_x
_atom_site_fract_y
_atom_site_fract_z
Ac1 0.750 0.669 0.220
F1 0.750 0.112 0.135
Ac2 0.250 0.831 0.720
Ge1 0.750 0.754 0.036
F2 0.750 0.612 0.365
Ac3 0.750 0.169 0.280
Ge2 0.750 0.101 0.715
Ge3 0.750 0.601 0.785
Ge4 0.250 0.246 0.964
Ge5 0.250 0.399 0.215
Ac4 0.750 0.015 0.898
Ac5 0.250 0.485 0.398
Ge6 0.750 0.254 0.464
Ac6 0.250 0.624 0.927
Ac7 0.750 0.876 0.427
F3 0.250 0.388 0.635
Ge7 0.250 0.899 0.285
Ac8 0.250 0.331 0.780
Ac9 0.750 0.515 0.602
Ac10 0.250 0.985 0.102
Ge8 0.250 0.746 0.536
Ac11 0.750 0.376 0.073
F4 0.250 0.888 0.865
Ac12 0.250 0.124 0.573

---

Entry B
# Ac3Ge2F PBE relaxed
# * V: 32.19 A^3/atom
# * density of states at the Fermi level: 4.03 states/eV per cell
data_Ac3Ge2F
_cell_length_a 6.411
_cell_length_b 9.017
_cell_length_c 7.767
_cell_angle_alpha 107.40
_cell_angle_beta 114.37
_cell_angle_gamma 90.00
_space_group_name_H-M_alt 'P 1'
_space_group_IT_number 1
_space_group_name_Hall 'P 1'
loop_
_atom_site_label
_atom_site_fract_x
_atom_site_fract_y
_atom_site_fract_z
Ge1 0.667 0.585 0.331
Ac1 0.456 0.250 0.000
Ac2 0.544 0.750 0.000
F1 0.933 0.750 0.000
Ac3 0.168 0.581 0.339
Ge2 0.665 0.085 0.331
Ac4 0.832 0.419 0.661
Ge3 0.335 0.915 0.669
Ge4 0.333 0.415 0.669
Ac5 0.830 0.919 0.661
F2 0.067 0.250 0.000
Ac6 0.170 0.081 0.339

---

Energies relative to the most stable structure, in meV per atom: entry A 0; entry B 106.

---

Entry A
# Ac3GeF PBE relaxed
# * V: 30.16 A^3/atom
# * density of states at the Fermi level: 6.29 states/eV per cell
data_Ac3GeF
_cell_length_a 5.323
_cell_length_b 5.323
_cell_length_c 5.323
_cell_angle_alpha 90.00
_cell_angle_beta 90.00
_cell_angle_gamma 90.00
_space_group_name_H-M_alt 'P 1'
_space_group_IT_number 1
_space_group_name_Hall 'P 1'
loop_
_atom_site_label
_atom_site_fract_x
_atom_site_fract_y
_atom_site_fract_z
F1 0.000 0.000 0.000
Ac1 0.500 0.000 0.000
Ge1 0.500 0.500 0.500
Ac2 0.000 0.500 0.000
Ac3 0.000 0.000 0.500

---

Entry B
# Ac3GeF PBE relaxed
# * V: 33.21 A^3/atom
# * density of states at the Fermi level: 19.67 states/eV per cell
data_Ac3GeF
_cell_length_a 6.586
_cell_length_b 9.546
_cell_length_c 12.519
_cell_angle_alpha 122.44
_cell_angle_beta 90.00
_cell_angle_gamma 90.00
_space_group_name_H-M_alt 'P 1'
_space_group_IT_number 1
_space_group_name_Hall 'P 1'
loop_
_atom_site_label
_atom_site_fract_x
_atom_site_fract_y
_atom_site_fract_z
Ac1 0.760 0.912 0.358
Ac2 0.740 0.412 0.858
Ac3 0.521 0.655 0.459
Ac4 0.968 0.661 0.679
Ac5 0.032 0.339 0.321
F1 0.195 0.595 0.343
Ac6 0.532 0.161 0.179
F2 0.805 0.405 0.657
Ac7 0.979 0.155 0.959
Ac8 0.240 0.088 0.642
Ac9 0.021 0.845 0.041
Ge1 0.734 0.493 0.164
Ac10 0.468 0.839 0.821
Ac11 0.479 0.345 0.541
Ge2 0.266 0.507 0.836
Ge3 0.766 0.993 0.664
F3 0.695 0.905 0.157
Ge4 0.234 0.007 0.336
Ac12 0.260 0.588 0.142
F4 0.305 0.095 0.843

---

Energies relative to the most stable structure, in meV per atom: entry A 249; entry B 0.

---

Entry A
# AcHF PBE relaxed
# * V: 17.81 A^3/atom
# * density of states at the Fermi level: 1.51 states/eV per cell
data_AcHF
_cell_length_a 4.197
_cell_length_b 7.418
_cell_length_c 4.193
_cell_angle_alpha 106.34
_cell_angle_beta 120.03
_cell_angle_gamma 90.00
_space_group_name_H-M_alt 'P 1'
_space_group_IT_number 1
_space_group_name_Hall 'P 1'
loop_
_atom_site_label
_atom_site_fract_x
_atom_site_fract_y
_atom_site_fract_z
H1 0.622 0.865 0.243
F1 0.131 0.392 0.262
Ac1 0.742 0.227 0.485
Ac2 0.258 0.773 0.515
H2 0.378 0.135 0.757
F2 0.869 0.608 0.738

---

Entry B
# AcHF PBE relaxed
# * V: 16.76 A^3/atom
# * density of states at the Fermi level: 1.22 states/eV per cell
data_AcHF
_cell_length_a 3.661
_cell_length_b 3.661
_cell_length_c 4.558
_cell_angle_alpha 113.68
_cell_angle_beta 113.68
_cell_angle_gamma 90.00
_space_group_name_H-M_alt 'P 1'
_space_group_IT_number 1
_space_group_name_Hall 'P 1'
loop_
_atom_site_label
_atom_site_fract_x
_atom_site_fract_y
_atom_site_fract_z
H1 0.323 0.323 0.646
Ac1 0.674 0.674 0.349
F1 0.003 0.003 0.005

---

Energies relative to the most stable structure, in meV per atom: entry A 0; entry B 349.

---

Entry A
# AcHF PBE relaxed
# * V: 22.04 A^3/atom
# * density of states at the Fermi level: 1.16 states/eV per cell
data_AcHF
_cell_length_a 4.079
_cell_length_b 4.326
_cell_length_c 4.326
_cell_angle_alpha 120.00
_cell_angle_beta 90.00
_cell_angle_gamma 90.00
_space_group_name_H-M_alt 'P 1'
_space_group_IT_number 1
_space_group_name_Hall 'P 1'
loop_
_atom_site_label
_atom_site_fract_x
_atom_site_fract_y
_atom_site_fract_z
F1 0.105 0.333 0.667
H1 0.888 0.667 0.333
Ac1 0.008 0.000 0.000

---

Entry B
# AcHF PBE relaxed
# * V: 17.88 A^3/atom
# * density of states at the Fermi level: 5.81 states/eV per cell
data_AcHF
_cell_length_a 6.048
_cell_length_b 6.048
_cell_length_c 7.269
_cell_angle_alpha 114.76
_cell_angle_beta 114.76
_cell_angle_gamma 89.62
_space_group_name_H-M_alt 'P 1'
_space_group_IT_number 1
_space_group_name_Hall 'P 1'
loop_
_atom_site_label
_atom_site_fract_x
_atom_site_fract_y
_atom_site_fract_z
F1 0.917 0.842 0.759
H1 0.914 0.339 0.754
H2 0.661 0.086 0.246
F2 0.158 0.083 0.241
H3 0.411 0.336 0.746
F3 0.167 0.592 0.259
Ac1 0.299 0.224 0.000
F4 0.408 0.833 0.741
Ac2 0.776 0.701 0.000
Ac3 0.549 0.974 0.500
Ac4 0.026 0.451 0.500
H4 0.664 0.589 0.254

---

Entry C
# AcHF PBE relaxed
# * V: 18.06 A^3/atom
# * density of states at the Fermi level: 1.50 states/eV per cell
data_AcHF
_cell_length_a 4.247
_cell_length_b 4.247
_cell_length_c 4.247
_cell_angle_alpha 60.00
_cell_angle_beta 60.00
_cell_angle_gamma 60.00
_space_group_name_H-M_alt 'P 1'
_space_group_IT_number 1
_space_group_name_Hall 'P 1'
loop_
_atom_site_label
_atom_site_fract_x
_atom_site_fract_y
_atom_site_fract_z
F1 0.000 0.000 0.000
H1 0.500 0.500 0.500
Ac1 0.250 0.250 0.250

---

Energies relative to the most stable structure, in meV per atom: entry A 205; entry B 0; entry C 52.

---

Entry A
# AcH2F6 PBE relaxed
# * V: 12.65 A^3/atom
data_AcH2F6
_cell_length_a 5.847
_cell_length_b 7.396
_cell_length_c 7.396
_cell_angle_alpha 75.10
_cell_angle_beta 57.60
_cell_angle_gamma 57.60
_space_group_name_H-M_alt 'P 1'
_space_group_IT_number 1
_space_group_name_Hall 'P 1'
loop_
_atom_site_label
_atom_site_fract_x
_atom_site_fract_y
_atom_site_fract_z
H1 0.296 0.643 0.674
F1 0.638 0.282 0.476
F2 0.292 0.151 0.443
F3 0.735 0.168 0.010
F4 0.708 0.849 0.557
F5 0.235 0.010 0.168
F6 0.265 0.832 0.990
F7 0.138 0.476 0.282
Ac1 0.250 0.201 0.799
H2 0.796 0.674 0.643
F8 0.362 0.718 0.524
Ac2 0.750 0.799 0.201
H3 0.204 0.326 0.357
F9 0.862 0.524 0.718
F10 0.765 0.990 0.832
F11 0.792 0.443 0.151
H4 0.704 0.357 0.326
F12 0.208 0.557 0.849

---

Entry B
# AcH2F6 PBE relaxed
# * V: 13.56 A^3/atom
data_AcH2F6
_cell_length_a 4.506
_cell_length_b 6.611
_cell_length_c 4.975
_cell_angle_alpha 116.99
_cell_angle_beta 90.00
_cell_angle_gamma 109.93
_space_group_name_H-M_alt 'P 1'
_space_group_IT_number 1
_space_group_name_Hall 'P 1'
loop_
_atom_site_label
_atom_site_fract_x
_atom_site_fract_y
_atom_site_fract_z
F1 0.232 0.464 0.753
F2 0.412 0.825 0.225
Ac1 0.000 0.000 0.500
F3 0.588 0.175 0.775
F4 0.768 0.536 0.247
F5 0.910 0.821 0.877
F6 0.090 0.179 0.123
H1 0.313 0.626 0.965
H2 0.687 0.374 0.035

---

Energies relative to the most stable structure, in meV per atom: entry A 22; entry B 0.

---

Entry A
# AcH2F PBE relaxed
# * V: 12.54 A^3/atom
# * density of states at the Fermi level: 0.00 states/eV per cell
data_AcH2F
_cell_length_a 4.140
_cell_length_b 4.140
_cell_length_c 4.140
_cell_angle_alpha 60.00
_cell_angle_beta 60.00
_cell_angle_gamma 60.00
_space_group_name_H-M_alt 'P 1'
_space_group_IT_number 1
_space_group_name_Hall 'P 1'
loop_
_atom_site_label
_atom_site_fract_x
_atom_site_fract_y
_atom_site_fract_z
F1 0.500 0.500 0.500
H1 0.750 0.750 0.750
Ac1 0.000 0.000 0.000
H2 0.250 0.250 0.250

---

Entry B
# AcH2F PBE relaxed
# * V: 13.12 A^3/atom
data_AcH2F
_cell_length_a 3.767
_cell_length_b 3.732
_cell_length_c 3.732
_cell_angle_alpha 90.00
_cell_angle_beta 90.00
_cell_angle_gamma 90.00
_space_group_name_H-M_alt 'P 1'
_space_group_IT_number 1
_space_group_name_Hall 'P 1'
loop_
_atom_site_label
_atom_site_fract_x
_atom_site_fract_y
_atom_site_fract_z
F1 0.500 0.000 0.000
H1 0.000 0.500 0.000
Ac1 0.500 0.500 0.500
H2 0.000 0.000 0.500

---

Energies relative to the most stable structure, in meV per atom: entry A 0; entry B 111.

---

Entry A
# AcHgF6 PBE relaxed
# * V: 15.39 A^3/atom
# * density of states at the Fermi level: 3.67 states/eV per cell
data_AcHgF6
_cell_length_a 5.579
_cell_length_b 4.745
_cell_length_c 4.745
_cell_angle_alpha 100.04
_cell_angle_beta 93.64
_cell_angle_gamma 93.64
_space_group_name_H-M_alt 'P 1'
_space_group_IT_number 1
_space_group_name_Hall 'P 1'
loop_
_atom_site_label
_atom_site_fract_x
_atom_site_fract_y
_atom_site_fract_z
Hg1 0.000 0.000 0.000
Ac1 0.500 0.500 0.500
F1 0.685 0.665 0.027
F2 0.899 0.317 0.317
F3 0.685 0.027 0.665
F4 0.315 0.335 0.973
F5 0.315 0.973 0.335
F6 0.101 0.683 0.683

---

Entry B
# AcHgF6 PBE relaxed
# * V: 24.40 A^3/atom
# * density of states at the Fermi level: 4.70 states/eV per cell
data_AcHgF6
_cell_length_a 6.511
_cell_length_b 6.511
_cell_length_c 6.511
_cell_angle_alpha 60.00
_cell_angle_beta 60.00
_cell_angle_gamma 60.00
_space_group_name_H-M_alt 'P 1'
_space_group_IT_number 1
_space_group_name_Hall 'P 1'
loop_
_atom_site_label
_atom_site_fract_x
_atom_site_fract_y
_atom_site_fract_z
Hg1 0.000 0.000 0.000
F1 0.241 0.759 0.759
F2 0.759 0.759 0.241
F3 0.241 0.241 0.759
F4 0.759 0.241 0.759
F5 0.759 0.241 0.241
Ac1 0.500 0.500 0.500
F6 0.241 0.759 0.241

---

Energies relative to the most stable structure, in meV per atom: entry A 7; entry B 0.